Computed, not measured: a relaxed Hf2Al2V crystal at the PBE level of DFT.

Cell and atoms, written as extended XYZ:
```
10
Lattice="6.982 0.000 0.000 0.000 6.982 0.000 0.000 0.000 3.806" Properties=species:S:1:pos:R:3 pbc="T T T"
Hf 1.209 2.282 0.000
Hf 2.282 5.773 0.000
Hf 4.699 1.209 0.000
Hf 5.773 4.699 0.000
Al 0.903 4.393 1.903
Al 2.588 0.903 1.903
Al 4.393 6.079 1.903
Al 6.079 2.588 1.903
V 0.000 0.000 1.903
V 3.491 3.491 1.903
```

SG: P4/mbm (127)
Uncorrected energy: -37.36 eV per formula unit
ΔH_f (0 K): -0.170 eV/atom

=====

Computed, not measured: a relaxed Hf2Al3V crystal at the PBE level of DFT.

Cell and atoms, written as extended XYZ:
```
6
Lattice="2.639 1.523 4.308 -2.639 1.523 4.308 0.000 -3.047 4.308" Properties=species:S:1:pos:R:3 pbc="T T T"
Hf 0.000 0.000 1.666
Hf 0.000 0.000 11.258
Al -1.319 -0.762 4.308
Al -1.319 0.762 8.616
Al 0.000 1.523 4.308
V 0.000 0.000 6.462
```

SG: R-3m (166)
Uncorrected energy: -42.55 eV per formula unit
ΔH_f (0 K): -0.383 eV/atom

=====

Computed, not measured: a relaxed HfAl2V2 crystal at the PBE level of DFT.

Cell and atoms, written as extended XYZ:
```
10
Lattice="7.665 0.000 0.000 0.000 7.665 0.000 0.000 0.000 2.745" Properties=species:S:1:pos:R:3 pbc="T T T"
Hf 0.000 0.000 0.000
Hf 3.833 3.833 0.000
Al 1.406 2.427 1.372
Al 2.427 6.260 1.372
Al 5.238 1.406 1.372
Al 6.260 5.238 1.372
V 0.839 4.671 0.000
V 2.994 0.839 0.000
V 4.671 6.827 0.000
V 6.827 2.994 0.000
```

SG: P4/mbm (127)
Uncorrected energy: -36.26 eV per formula unit
ΔH_f (0 K): -0.116 eV/atom

=====

Computed, not measured: a relaxed Y2HfAlV crystal at the PBE level of DFT.

Cell and atoms, written as extended XYZ:
```
5
Lattice="5.221 0.000 0.000 0.000 5.221 0.000 0.000 0.000 4.826" Properties=species:S:1:pos:R:3 pbc="T T T"
Y 0.000 2.611 0.000
Y 2.611 0.000 0.000
Hf 0.000 0.000 2.413
Al 2.611 2.611 2.413
V 0.000 0.000 0.000
```

SG: P4/mmm (123)
Uncorrected energy: -32.67 eV per formula unit
ΔH_f (0 K): 0.614 eV/atom

=====

Computed, not measured: a relaxed HfAl2W crystal at the PBE level of DFT.

Cell and atoms, written as extended XYZ:
```
16
Lattice="7.102 0.000 0.000 0.000 3.660 0.000 0.000 0.000 10.592" Properties=species:S:1:pos:R:3 pbc="T T T"
Hf 1.663 0.915 2.054
Hf 1.888 2.745 7.350
Hf 5.215 0.915 3.243
Hf 5.439 2.745 8.539
Al 0.470 0.915 8.823
Al 1.373 2.745 10.414
Al 2.178 0.915 5.118
Al 3.081 2.745 3.527
Al 4.021 0.915 7.065
Al 4.924 2.745 5.474
Al 5.730 0.915 0.178
Al 6.632 2.745 1.769
W 0.354 2.745 4.359
W 3.197 0.915 9.655
W 3.905 2.745 0.937
W 6.748 0.915 6.233
```

SG: Pnma (62)
Uncorrected energy: -31.27 eV per formula unit
ΔH_f (0 K): -0.220 eV/atom

=====

Computed, not measured: a relaxed Hf3AlW crystal at the PBE level of DFT.

Cell and atoms, written as extended XYZ:
```
5
Lattice="5.031 0.000 0.000 0.000 5.031 0.000 0.000 0.000 5.031" Properties=species:S:1:pos:R:3 pbc="T T T"
Hf 0.000 0.000 2.515
Hf 0.000 2.515 0.000
Hf 2.515 0.000 0.000
Al 2.515 2.515 2.515
W 0.000 0.000 0.000
```

SG: Pm-3m (221)
Uncorrected energy: -41.73 eV per formula unit
ΔH_f (0 K): 0.965 eV/atom

=====

Computed, not measured: a relaxed HfAl3W crystal at the PBE level of DFT.

Cell and atoms, written as extended XYZ:
```
5
Lattice="4.972 0.000 0.000 0.000 4.972 0.000 0.000 0.000 4.972" Properties=species:S:1:pos:R:3 pbc="T T T"
Hf 0.000 0.000 0.000
Al 0.000 0.000 2.486
Al 0.000 2.486 0.000
Al 2.486 0.000 0.000
W 2.486 2.486 2.486
```

SG: Pm-3m (221)
Uncorrected energy: -25.05 eV per formula unit
ΔH_f (0 K): 1.818 eV/atom

=====

Computed, not measured: a relaxed HfAl2W crystal at the PBE level of DFT.

Cell and atoms, written as extended XYZ:
```
4
Lattice="1.461 0.844 9.439 -1.461 0.844 9.439 0.000 -1.687 9.439" Properties=species:S:1:pos:R:3 pbc="T T T"
Hf 0.000 0.000 0.000
Al 0.000 0.000 6.935
Al 0.000 0.000 21.381
W 0.000 0.000 14.158
```

SG: R-3m (166)
Uncorrected energy: -30.33 eV per formula unit
ΔH_f (0 K): 0.016 eV/atom

=====

What did the third record say?
Computed, not measured: a relaxed HfAl2V2 crystal at the PBE level of DFT.

Cell and atoms, written as extended XYZ:
```
10
Lattice="7.665 0.000 0.000 0.000 7.665 0.000 0.000 0.000 2.745" Properties=species:S:1:pos:R:3 pbc="T T T"
Hf 0.000 0.000 0.000
Hf 3.833 3.833 0.000
Al 1.406 2.427 1.372
Al 2.427 6.260 1.372
Al 5.238 1.406 1.372
Al 6.260 5.238 1.372
V 0.839 4.671 0.000
V 2.994 0.839 0.000
V 4.671 6.827 0.000
V 6.827 2.994 0.000
```

SG: P4/mbm (127)
Uncorrected energy: -36.26 eV per formula unit
ΔH_f (0 K): -0.116 eV/atom

=====

Please write out number 1 again, unchanged.
Computed, not measured: a relaxed Hf2Al2V crystal at the PBE level of DFT.

Cell and atoms, written as extended XYZ:
```
10
Lattice="6.982 0.000 0.000 0.000 6.982 0.000 0.000 0.000 3.806" Properties=species:S:1:pos:R:3 pbc="T T T"
Hf 1.209 2.282 0.000
Hf 2.282 5.773 0.000
Hf 4.699 1.209 0.000
Hf 5.773 4.699 0.000
Al 0.903 4.393 1.903
Al 2.588 0.903 1.903
Al 4.393 6.079 1.903
Al 6.079 2.588 1.903
V 0.000 0.000 1.903
V 3.491 3.491 1.903
```

SG: P4/mbm (127)
Uncorrected energy: -37.36 eV per formula unit
ΔH_f (0 K): -0.170 eV/atom

=====

- Which of these has the lowest uncorrected energy?
  Hf2Al3V